Entry from Alexandria via LeMat-Bulk: ErTiHg2 after structural relaxation (GGA-PBE).

Computed properties:
Its volume is 22.2 Å³/atom. The value obtained for the formation energy is -0.1870 eV/atom. The energy above the most stable polymorph in this dataset is 0.8 meV per atom.

Cell: 5.006 5.006 5.006 Å, 60.00 60.00 60.00°
Fractional coordinates of all 4 atoms:
Ti  0.000  0.000  0.000
Hg  0.750  0.750  0.750
Hg  0.250  0.250  0.250
Er  0.500  0.500  0.500


Entry from Alexandria via LeMat-Bulk: NaCd4Ga after structural relaxation (GGA-PBE).

Computed properties:
Its volume is 23.7 Å³/atom. The value obtained for the formation energy is -0.0480 eV/atom. The energy above the most stable polymorph in this dataset is 7.0 meV per atom.

Cell: 4.404 7.680 8.693 Å, 90.00 104.67 90.00°
Fractional coordinates of all 12 atoms:
Cd  0.676  0.946  0.353
Cd  0.676  0.554  0.353
Cd  0.067  0.750  0.134
Cd  0.500  0.500  0.000
Cd  0.324  0.054  0.647
Cd  0.500  0.000  0.000
Cd  0.324  0.446  0.647
Cd  0.933  0.250  0.866
Ga  0.239  0.750  0.478
Ga  0.761  0.250  0.522
Na  0.122  0.250  0.244
Na  0.878  0.750  0.756


Entry from Alexandria via LeMat-Bulk: MgRe2Os after structural relaxation (GGA-PBE).

Computed properties:
Its volume is 15.0 Å³/atom. The value obtained for the formation energy is 0.2759 eV/atom.

Cell: 4.292 2.741 5.317 Å, 73.97 90.00 90.00°
Fractional coordinates of all 4 atoms:
Re  0.000  0.992  0.004
Re  0.000  0.508  0.496
Os  0.500  0.750  0.750
Mg  0.500  0.250  0.250


Entry from Alexandria via LeMat-Bulk: Pm2Zn3Cu2 after structural relaxation (GGA-PBE).

Computed properties:
Its volume is 19.1 Å³/atom. The value obtained for the formation energy is -0.2918 eV/atom. The energy above the most stable polymorph in this dataset is 0.0 meV per atom.

Cell: 4.277 5.450 6.870 Å, 112.70 90.00 113.11°
Fractional coordinates of all 7 atoms:
Pm  0.854  0.707  0.229
Pm  0.146  0.293  0.771
Zn  0.500  0.000  0.000
Zn  0.622  0.244  0.430
Zn  0.378  0.756  0.570
Cu  0.862  0.724  0.787
Cu  0.138  0.276  0.213


Entry from Alexandria via LeMat-Bulk: CeNd2H after structural relaxation (GGA-PBE).

Computed properties:
Its volume is 25.4 Å³/atom. The energy above the most stable polymorph in this dataset is 0.0 meV per atom.

Cell: 3.499 3.499 9.773 Å, 79.69 79.69 60.00°
Fractional coordinates of all 4 atoms:
Ce  0.000  0.000  0.000
Nd  0.884  0.884  0.347
Nd  0.116  0.116  0.653
H  0.500  0.500  0.500


Entry from Alexandria via LeMat-Bulk: Ce3Si2Ni2 after structural relaxation (GGA-PBE).

Computed properties:
Its volume is 20.7 Å³/atom. The energy above the most stable polymorph in this dataset is 20.3 meV per atom. As for the uncorrected formation energy: -58 kJ per mole of atoms.

Cell: 4.089 3.976 9.346 Å, 102.28 102.64 90.00°
Fractional coordinates of all 7 atoms:
Ce  0.315  0.815  0.630
Ce  0.000  0.000  0.000
Ce  0.685  0.185  0.370
Ni  0.432  0.432  0.863
Ni  0.568  0.568  0.137
Si  0.135  0.635  0.270
Si  0.865  0.365  0.730


| no. | total moment (μB/atom) |
| --- | --- |
| 1 | 0.42 |
| 2 | 0.00 |
| 3 | 0.00 |
| 4 | 0.00 |
| 5 | 0.24 |
| 6 | 0.19 |